(1)
Computed, not measured: a relaxed structure of BaMn2Tl at the PBE-GGA level of DFT.

Lattice parameters (Å, degrees): 3.552 5.505 10.702 90.00 90.00 90.00
Element x y z (fractional)
Ba: 0.000 0.000 0.000
Ba: 0.500 0.500 0.500
Mn: 0.000 0.000 0.491
Mn: 0.000 0.500 0.790
Mn: 0.500 0.000 0.290
Mn: 0.500 0.500 0.991
Tl: 0.000 0.500 0.214
Tl: 0.500 0.000 0.714

Properties
Total magnetic moment (μB per formula unit): 7.7
Relative energy among the computed polymorphs (kJ/mol of atoms): 34.4
Space-group type: Imm2
Density of states at the Fermi level (states/eV/f.u.): 4.23
Formation energy (eV/atom): 0.599


(2)
Computed, not measured: a relaxed structure of BaMnTl2 at the PBE-GGA level of DFT.

Lattice parameters (Å, degrees): 5.016 5.016 4.955 90.00 90.00 90.00
Element x y z (fractional)
Ba: 0.000 0.000 0.000
Mn: 0.500 0.500 0.000
Tl: 0.000 0.500 0.500
Tl: 0.500 0.000 0.500

Properties
Total magnetic moment (μB per formula unit): 4.2
Space-group type: P4/mmm
Density of states at the Fermi level (states/eV/f.u.): 3.82
Formation energy (eV/atom): 0.238